1.
The following is a GGA-PBE calculation of PmMgBe17 after structural relaxation, from the Alexandria database.

a = 5.7967 Å, b = 5.7967 Å, c = 5.7967 Å
α = 83.17°, β = 83.17°, γ = 83.17°
Fractional coordinates of all 19 atoms:
Pm (0.0000, 0.0000, 0.0000)
Mg (0.6875, 0.6875, 0.6875)
Be (0.0064, 0.0064, 0.5000)
Be (0.0064, 0.5000, 0.0064)
Be (0.0617, 0.3482, 0.6251)
Be (0.0617, 0.6251, 0.3482)
Be (0.1950, 0.6796, 0.6796)
Be (0.2491, 0.2491, 0.2491)
Be (0.3398, 0.3398, 0.8481)
Be (0.3398, 0.8481, 0.3398)
Be (0.3482, 0.0617, 0.6251)
Be (0.3482, 0.6251, 0.0617)
Be (0.4415, 0.4415, 0.4415)
Be (0.5000, 0.0064, 0.0064)
Be (0.6251, 0.0617, 0.3482)
Be (0.6251, 0.3482, 0.0617)
Be (0.6796, 0.1950, 0.6796)
Be (0.6796, 0.6796, 0.1950)
Be (0.8481, 0.3398, 0.3398)

Output
mass density	2.80	g/cm³
DOS at the Fermi energy	5.21	states/eV per cell
E_form	-0.01	eV per atom

***

2.
The following is a GGA-PBE calculation of PmPrMgBe after structural relaxation, from the Alexandria database.

a = 5.2393 Å, b = 5.2393 Å, c = 5.2393 Å
α = 60.00°, β = 60.00°, γ = 60.00°
Fractional coordinates of all 4 atoms:
Pm (0.0000, 0.0000, 0.0000)
Pr (0.5000, 0.5000, 0.5000)
Mg (0.2500, 0.2500, 0.2500)
Be (0.7500, 0.7500, 0.7500)

Output
mass density	5.21	g/cm³
DOS at the Fermi energy	3.37	states/eV per cell
E_form	0.11	eV per atom

***

Number 1: VASP energy -3.68 eV/atom. Number 2: VASP energy -3.60 eV/atom.